No. 1
## CaZrP2 (PBE-GGA)

Data for crystalline CaZrP2 at its relaxed geometry.

Structure (POSCAR):
```
CaZrP2
1.0
0.0000 3.3376 3.3376
3.3376 0.0000 3.3376
3.3376 3.3376 0.0000
Ca Zr P
1 1 2
Direct
0.0000 0.0000 0.0000
0.2500 0.2500 0.2500
0.5000 0.5000 0.5000
0.7500 0.7500 0.7500
```

Calculated values
Energy of formation from the pure elements ... 0.0443 eV per atom

No. 2
## CaZr3P (PBE-GGA)

Data for crystalline CaZr3P at its relaxed geometry.

Structure (POSCAR):
```
CaZr3P
1.0
4.9762 0.0000 0.0000
0.0000 4.9762 0.0000
0.0000 0.0000 4.9762
Ca Zr P
1 3 1
Direct
0.0000 0.0000 0.0000
0.0000 0.0000 0.5000
0.0000 0.5000 0.0000
0.5000 0.0000 0.0000
0.5000 0.5000 0.5000
```

Calculated values
Energy of formation from the pure elements ... 1.7406 eV per atom

No. 3
## CaZrP2 (PBE-GGA)

Data for crystalline CaZrP2 at its relaxed geometry.

Structure (POSCAR):
```
CaZrP2
1.0
1.9276 1.1129 6.6157
-1.9276 1.1129 6.6157
0.0000 -2.2258 6.6157
Ca Zr P
1 1 2
Direct
0.0000 0.0000 0.0000
0.5000 0.5000 0.5000
0.2417 0.2417 0.2417
0.7583 0.7583 0.7583
```

Calculated values
Energy of formation from the pure elements ... -1.2644 eV per atom

No. 4
## CaZrP2 (PBE-GGA)

Data for crystalline CaZrP2 at its relaxed geometry.

Structure (POSCAR):
```
CaZrP2
1.0
3.9065 0.0000 0.0000
0.0000 1.8747 6.1592
0.0000 -1.8747 6.1592
Ca Zr P
1 1 2
Direct
0.0000 0.0000 0.0000
0.5000 0.2708 0.2708
0.0000 0.7373 0.7373
0.5000 0.4669 0.4669
```

Calculated values
Energy of formation from the pure elements ... -0.9642 eV per atom

Number 1: E above lowest polymorph 1.309 eV per atom, final energy -21.2 eV/cell, total moment 0.000 μB/atom. Number 2: E above lowest polymorph 2.030 eV per atom, final energy -24.4 eV/cell, total moment 0.271 μB/atom. Number 3: E above lowest polymorph 0.000 eV per atom, final energy -26.4 eV/cell, total moment 0.000 μB/atom. Number 4: E above lowest polymorph 0.300 eV per atom, final energy -25.2 eV/cell, total moment 0.000 μB/atom.